No. 1
This record from the Alexandria database describes a geometry-optimized Rb3Sn5Au3 structure. The functional is PBE.

Lattice parameters (Å, degrees): 6.7248 8.6754 8.6754 120.00 90.00 90.00
Atoms (fractional coordinates):
Au: 0.5000 0.6490 0.0000
Au: 0.5000 0.3510 0.3510
Au: 0.5000 0.0000 0.6490
Sn: 0.5000 0.3333 0.6667
Sn: 0.5000 0.2874 0.0000
Sn: 0.5000 0.7126 0.7126
Sn: 0.5000 0.0000 0.2874
Sn: 0.5000 0.6667 0.3333
Rb: 0.0000 0.3420 0.3420
Rb: 0.0000 0.6580 0.0000
Rb: 0.0000 0.0000 0.6580

Mass density = 5.46 g cm⁻³
Space-group type = P-62m, No. 189
Total DFT energy (no corrections) = -0.1141 hartree per atom

***

No. 2
This record from the Alexandria database describes a geometry-optimized Pm8HgGe3Te4 structure. The functional is PBE.

Lattice parameters (Å, degrees): 8.7311 8.8691 8.7311 119.49 120.00 90.00
Atoms (fractional coordinates):
Pm: 0.2506 0.7334 0.9828
Pm: 0.2595 0.2784 0.5190
Pm: 0.2506 0.7334 0.5011
Pm: 0.7323 0.7334 0.9828
Pm: 0.7405 0.7216 0.4810
Pm: 0.2677 0.2666 0.0172
Pm: 0.7494 0.2666 0.0172
Pm: 0.7494 0.2666 0.4989
Ge: 0.0000 0.5000 0.5000
Ge: 0.5000 0.5000 0.5000
Ge: 0.5000 0.5000 0.0000
Hg: 0.0000 0.5000 0.0000
Te: 0.5000 0.0000 0.5000
Te: 0.5000 0.0000 0.0000
Te: 0.0000 0.0000 0.5000
Te: 0.0000 0.0000 0.0000

Mass density = 7.20 g cm⁻³
Space-group type = R-3m, No. 166
Raw formation energy = -18.05 eV/f.u.

***

No. 3
This record from the Alexandria database describes a geometry-optimized Rb2ScVI6 structure. The functional is PBE.

Lattice parameters (Å, degrees): 8.2708 8.2708 8.2723 60.01 60.01 90.00
Atoms (fractional coordinates):
Sc: 0.5000 0.5000 0.0000
I: 0.2487 0.7513 0.0000
I: 0.7513 0.2487 0.0000
I: 0.7513 0.7513 0.0000
I: 0.2488 0.2488 0.5024
I: 0.7512 0.7512 0.4976
I: 0.2487 0.2487 0.0000
Rb: 0.7500 0.2500 0.5000
Rb: 0.2500 0.7500 0.5000
V: 0.0000 0.0000 0.0000

Mass density = 4.27 g cm⁻³
Space-group type = Fm-3m, No. 225
Raw formation energy = -9.71 eV/f.u.

***

No. 4
This record from the Alexandria database describes a geometry-optimized CaDyTh structure. The functional is PBE.

Lattice parameters (Å, degrees): 3.5774 3.5774 8.5140 102.13 102.13 90.00
Atoms (fractional coordinates):
Ca: 0.9991 0.9991 0.9982
Dy: 0.6775 0.6775 0.3549
Th: 0.3234 0.3234 0.6468

Mass density = 6.94 g cm⁻³
Space-group type = I4mm, No. 107
Total DFT energy (no corrections) = -0.1679 hartree per atom

***

No. 5
This record from the Alexandria database describes a geometry-optimized CePm3Tm8 structure. The functional is PBE.

Lattice parameters (Å, degrees): 8.3875 8.3950 8.3875 95.69 136.38 100.18
Atoms (fractional coordinates):
Pm: 0.5022 0.7514 0.2536
Pm: 0.5022 0.2486 0.7508
Pm: 0.8365 0.5000 0.3365
Tm: 0.4962 0.1671 0.3292
Tm: 0.1623 0.3300 0.8320
Tm: 0.1658 0.9167 0.7506
Tm: 0.5020 0.6700 0.8323
Tm: 0.1620 0.8329 0.3291
Tm: 0.8339 0.0833 0.2491
Tm: 0.8340 0.5844 0.7503
Tm: 0.1659 0.4156 0.2496
Ce: 0.8370 0.0000 0.8370

Mass density = 8.46 g cm⁻³
Space-group type = Imm2, No. 44
Total DFT energy (no corrections) = -0.1702 hartree per atom

***

No. 6
This record from the Alexandria database describes a geometry-optimized LiYFe2 structure. The functional is PBE.

Lattice parameters (Å, degrees): 5.1165 5.1165 5.1165 135.48 135.48 64.78
Atoms (fractional coordinates):
Fe: 0.0000 0.0000 0.0000
Fe: 0.5000 0.5000 0.0000
Y: 0.7500 0.2500 0.5000
Li: 0.2500 0.7500 0.5000

Mass density = 5.31 g cm⁻³
Space-group type = I4/mmm, No. 139
Total DFT energy (no corrections) = -0.2194 hartree per atom